P2Rh2Pb (PBE-GGA, optimized geometry); density of states at the Fermi level = 2.7 states/eV/cell; energy relative to the elements = -0.3810 eV per atom; ρ = 9.40 g/cm³
1.0
-2.103 2.103 4.743
2.103 -2.103 4.743
2.103 2.103 -4.743
P Rh Pb
2 2 1
Direct
0.122 0.122 0.000
0.878 0.878 0.000
0.250 0.750 0.500
0.750 0.250 0.500
0.500 0.500 0.000